V8GeH2 | PBE-GGA | optimized geometry

Cell lengths 6.373, 10.782, 3.811 Å; angles 90.00, 98.21, 90.00 degrees
Space group C2/m (No. 12)
One atom of each set of equivalent atoms:
V (0.000, 0.244, 0.000) x4
V (0.106, 0.500, 0.828) x4
V (0.221, 0.130, 0.559) x8
Ge (0.000, 0.000, 0.000) x2
H (0.000, 0.255, 0.500) x4

**Mass density**: 6.2 g cm⁻³
**DFT total energy**: -167.20 eV per cell

V4GeH2 | PBE-GGA | optimized geometry

Cell lengths 4.414, 4.414, 9.166 Å; angles 90.00, 90.00, 90.00 degrees
Space group I4/mmm (No. 139)
One atom of each set of equivalent atoms:
V (0.000, 0.000, 0.239) x4
V (0.000, 0.500, 0.000) x4
Ge (0.000, 0.000, 0.500) x2
H (0.000, 0.000, 0.060) x4

**Offset from the most stable computed form**: 0.937 eV/atom
**Mass density**: 5.2 g cm⁻³
**DFT total energy**: -85.12 eV per cell

V4GeH2 | PBE-GGA | optimized geometry

Cell lengths 3.159, 9.638, 9.628 Å; angles 90.00, 90.00, 90.00 degrees
Space group Cmcm (No. 63)
One atom of each set of equivalent atoms:
V (0.000, 0.000, 0.000) x4
V (0.000, 0.293, 0.094) x8
V (0.000, 0.376, 0.750) x4
Ge (0.000, 0.086, 0.750) x4
H (0.000, 0.402, 0.557) x8

**Offset from the most stable computed form**: 0.000 eV/atom
**Mass density**: 6.3 g cm⁻³
**DFT total energy**: -196.48 eV per cell

V2GeHW | PBE-GGA | optimized geometry

Cell lengths 3.874, 3.874, 3.945 Å; angles 90.00, 90.00, 90.00 degrees
Space group P4/mmm (No. 123)
One atom of each set of equivalent atoms:
V (0.000, 0.500, 0.000) x2
Ge (0.000, 0.000, 0.500) x1
H (0.500, 0.500, 0.000) x1
W (0.500, 0.500, 0.500) x1

**Mass density**: 10.1 g cm⁻³
**DFT total energy**: -39.44 eV per cell

YVGe2H | PBE-GGA | optimized geometry

Cell lengths 4.353, 4.353, 4.062 Å; angles 90.00, 90.00, 90.00 degrees
Space group P4/mmm (No. 123)
One atom of each set of equivalent atoms:
Y (0.000, 0.000, 0.000) x1
V (0.500, 0.500, 0.000) x1
Ge (0.000, 0.500, 0.500) x2
H (0.000, 0.000, 0.500) x1

**Mass density**: 6.2 g cm⁻³
**DFT total energy**: -27.86 eV per cell

VZn2GeH | PBE-GGA | optimized geometry

Cell lengths 4.963, 4.963, 3.254 Å; angles 90.00, 90.00, 90.00 degrees
Space group P4/mmm (No. 123)
One atom of each set of equivalent atoms:
V (0.000, 0.000, 0.000) x1
Zn (0.000, 0.500, 0.500) x2
Ge (0.500, 0.500, 0.500) x1
H (0.500, 0.500, 0.000) x1

**Mass density**: 5.3 g cm⁻³
**DFT total energy**: -16.40 eV per cell

Zr2VGeH | PBE-GGA | optimized geometry

Cell lengths 4.500, 4.500, 3.687 Å; angles 90.00, 90.00, 90.00 degrees
Space group P4/mmm (No. 123)
One atom of each set of equivalent atoms:
Zr (0.000, 0.500, 0.000) x2
V (0.000, 0.000, 0.500) x1
Ge (0.500, 0.500, 0.500) x1
H (0.000, 0.000, 0.000) x1

**Mass density**: 6.8 g cm⁻³
**DFT total energy**: -36.07 eV per cell

GeHW2 | PBE-GGA | optimized geometry

Cell lengths 5.975, 5.975, 5.975 Å; angles 90.00, 90.00, 90.00 degrees
Space group Fm-3m (No. 225)
One atom of each set of equivalent atoms:
Ge (0.000, 0.000, 0.000) x4
H (0.000, 0.000, 0.500) x4
W (0.250, 0.250, 0.250) x8

**Offset from the most stable computed form**: 0.557 eV/atom
**Mass density**: 13.7 g cm⁻³
**DFT total energy**: -120.63 eV per cell

GeH3W | PBE-GGA | optimized geometry

Cell lengths 3.489, 3.489, 3.489 Å; angles 90.00, 90.00, 90.00 degrees
Space group Pm-3m (No. 221)
One atom of each set of equivalent atoms:
Ge (0.000, 0.000, 0.000) x1
H (0.000, 0.000, 0.500) x3
W (0.500, 0.500, 0.500) x1

**Offset from the most stable computed form**: 0.706 eV/atom
**Mass density**: 10.1 g cm⁻³
**DFT total energy**: -21.10 eV per cell

GeH2W | PBE-GGA | optimized geometry

Cell lengths 5.376, 5.376, 5.376 Å; angles 90.00, 90.00, 90.00 degrees
Space group Fm-3m (No. 225)
One atom of each set of equivalent atoms:
Ge (0.000, 0.000, 0.000) x4
H (0.250, 0.250, 0.250) x8
W (0.000, 0.000, 0.500) x4

**Offset from the most stable computed form**: 0.773 eV/atom
**Mass density**: 11.1 g cm⁻³
**DFT total energy**: -79.16 eV per cell

Ge3HW | PBE-GGA | optimized geometry

Cell lengths 4.899, 4.899, 4.899 Å; angles 90.00, 90.00, 90.00 degrees
Space group Pm-3m (No. 221)
One atom of each set of equivalent atoms:
Ge (0.000, 0.000, 0.500) x3
H (0.500, 0.500, 0.500) x1
W (0.000, 0.000, 0.000) x1

**Mass density**: 5.7 g cm⁻³
**DFT total energy**: -26.39 eV per cell

GeHW2 | PBE-GGA | optimized geometry

Cell lengths 6.070, 6.070, 5.567 Å; angles 90.00, 90.00, 90.00 degrees
Space group I-42d (No. 122)
One atom of each set of equivalent atoms:
Ge (0.000, 0.000, 0.000) x4
H (0.000, 0.000, 0.500) x4
W (0.147, 0.250, 0.625) x8

**Offset from the most stable computed form**: 0.000 eV/atom
**Mass density**: 14.3 g cm⁻³
**DFT total energy**: -129.54 eV per cell